(1)
Material: Ga2MoRh
Method: DFT, PBE
State: optimized geometry

CIF file:
```
data_Ga2MoRh
_cell_length_a 2.998
_cell_length_b 2.998
_cell_length_c 6.526
_cell_angle_alpha 90.00
_cell_angle_beta 90.00
_cell_angle_gamma 90.00
_space_group_name_H-M_alt 'P 1'
_space_group_IT_number 1
loop_
_space_group_symop_operation_xyz
'x,y,z'
loop_
_atom_site_label
_atom_site_type_symbol
_atom_site_fract_x
_atom_site_fract_y
_atom_site_fract_z
_atom_site_occupancy
Mo1 Mo 0.500 0.500 0.500 1
Rh1 Rh 0.500 0.500 0.000 1
Ga1 Ga 0.000 0.000 0.766 1
Ga2 Ga 0.000 0.000 0.234 1
```

Computed properties:
Its energy above the most stable polymorph in this dataset is 0.00 eV/f.u. The calculation puts the total moment at 0.48 μB/f.u. As for the space group: P4/mmm (123). Its formation energy is -0.26 eV per atom.

(2)
Material: RbZr2Br2
Method: DFT, PBE
State: optimized geometry

CIF file:
```
data_RbZr2Br2
_cell_length_a 4.252
_cell_length_b 4.252
_cell_length_c 8.490
_cell_angle_alpha 75.50
_cell_angle_beta 75.50
_cell_angle_gamma 90.00
_space_group_name_H-M_alt 'P 1'
_space_group_IT_number 1
loop_
_space_group_symop_operation_xyz
'x,y,z'
loop_
_atom_site_label
_atom_site_type_symbol
_atom_site_fract_x
_atom_site_fract_y
_atom_site_fract_z
_atom_site_occupancy
Br1 Br 0.375 0.375 0.251 1
Br2 Br 0.625 0.625 0.749 1
Rb1 Rb 0.000 0.000 0.000 1
Zr1 Zr 0.750 0.250 0.500 1
Zr2 Zr 0.250 0.750 0.500 1
```

Computed properties:
Its energy above the most stable polymorph in this dataset is 0.00 eV/f.u. The calculation puts the total moment at 0.00 μB/f.u. As for the space group: I4/mmm (139). The calculation puts the energy relative to the elements, uncorrected at -0.510 eV per atom.

(3)
Material: NaGd2P
Method: DFT, PBE
State: optimized geometry

CIF file:
```
data_NaGd2P
_cell_length_a 3.849
_cell_length_b 3.849
_cell_length_c 10.655
_cell_angle_alpha 79.60
_cell_angle_beta 79.60
_cell_angle_gamma 60.00
_space_group_name_H-M_alt 'P 1'
_space_group_IT_number 1
loop_
_space_group_symop_operation_xyz
'x,y,z'
loop_
_atom_site_label
_atom_site_type_symbol
_atom_site_fract_x
_atom_site_fract_y
_atom_site_fract_z
_atom_site_occupancy
P1 P 0.500 0.500 0.500 1
Gd1 Gd 0.116 0.116 0.653 1
Gd2 Gd 0.884 0.884 0.347 1
Na1 Na 0.000 0.000 0.000 1
```

Computed properties:
The calculation puts the total moment at 15.12 μB/f.u. As for the space group: R-3m (166). Its formation energy is -0.61 eV per atom.

(4)
Material: DyTm2Pb3
Method: DFT, PBE
State: optimized geometry

CIF file:
```
data_DyTm2Pb3
_cell_length_a 7.597
_cell_length_b 6.373
_cell_length_c 8.347
_cell_angle_alpha 109.29
_cell_angle_beta 110.71
_cell_angle_gamma 69.69
_space_group_name_H-M_alt 'P 1'
_space_group_IT_number 1
loop_
_space_group_symop_operation_xyz
'x,y,z'
loop_
_atom_site_label
_atom_site_type_symbol
_atom_site_fract_x
_atom_site_fract_y
_atom_site_fract_z
_atom_site_occupancy
Dy1 Dy 0.728 0.018 0.973 1
Dy2 Dy 0.272 0.982 0.027 1
Tm1 Tm 0.605 0.641 0.359 1
Tm2 Tm 0.062 0.678 0.304 1
Tm3 Tm 0.938 0.322 0.696 1
Tm4 Tm 0.395 0.359 0.641 1
Pb1 Pb 0.285 0.472 0.011 1
Pb2 Pb 0.715 0.528 0.989 1
Pb3 Pb 0.052 0.190 0.327 1
Pb4 Pb 0.379 0.867 0.650 1
Pb5 Pb 0.621 0.133 0.350 1
Pb6 Pb 0.948 0.810 0.673 1
```

Computed properties:
The calculation puts the total moment at 0.00 μB/f.u. As for the space group: P-1 (2). Its formation energy is -0.40 eV per atom.

(5)
Material: SiAg3Rh
Method: DFT, PBE
State: optimized geometry

CIF file:
```
data_SiAg3Rh
_cell_length_a 4.645
_cell_length_b 4.645
_cell_length_c 4.645
_cell_angle_alpha 90.00
_cell_angle_beta 90.00
_cell_angle_gamma 90.00
_space_group_name_H-M_alt 'P 1'
_space_group_IT_number 1
loop_
_space_group_symop_operation_xyz
'x,y,z'
loop_
_atom_site_label
_atom_site_type_symbol
_atom_site_fract_x
_atom_site_fract_y
_atom_site_fract_z
_atom_site_occupancy
Si1 Si 0.000 0.000 0.000 1
Rh1 Rh 0.500 0.500 0.500 1
Ag1 Ag 0.000 0.500 0.000 1
Ag2 Ag 0.000 0.000 0.500 1
Ag3 Ag 0.500 0.000 0.000 1
```

Computed properties:
Its energy above the most stable polymorph in this dataset is 0.00 eV/f.u. The calculation puts the total moment at 0.00 μB/f.u. As for the space group: Pm-3m (221). The calculation puts the energy relative to the elements, uncorrected at 0.783 eV per atom.

(6)
Material: ZnPCS2
Method: DFT, PBE
State: optimized geometry

CIF file:
```
data_ZnPCS2
_cell_length_a 4.565
_cell_length_b 4.565
_cell_length_c 3.552
_cell_angle_alpha 90.00
_cell_angle_beta 90.00
_cell_angle_gamma 90.00
_space_group_name_H-M_alt 'P 1'
_space_group_IT_number 1
loop_
_space_group_symop_operation_xyz
'x,y,z'
loop_
_atom_site_label
_atom_site_type_symbol
_atom_site_fract_x
_atom_site_fract_y
_atom_site_fract_z
_atom_site_occupancy
C1 C 0.000 0.000 0.000 1
P1 P 0.000 0.000 0.500 1
Zn1 Zn 0.500 0.500 0.500 1
S1 S 0.000 0.500 0.000 1
S2 S 0.500 0.000 0.000 1
```

Computed properties:
Its energy above the most stable polymorph in this dataset is 0.00 eV/f.u. The calculation puts the total moment at 0.00 μB/f.u. As for the space group: P4/mmm (123). The calculation puts the energy relative to the elements, uncorrected at 1.076 eV per atom.

Question: What is the total moment in the fifth record?
Answer: 0.00 μB/f.u.